[1]
DFT (PBE) results for a geometry-optimized ErTmGeRh structure.

Values from the calculation:
* density of states at the Fermi level: 2.74 states/eV per cell
* SG: Amm2 (38)
* V: 86.1 Å³ per cell
* formation enthalpy at 0 K: -885 meV per atom
* total magnetic moment: 0.0 μB/f.u.
* E above lowest polymorph: 0 meV/atom
* E_tot: -6.14 eV per atom

Cell and atoms, written as CIF:
```
data_ErTmGeRh
_symmetry_space_group_name_H-M 'P 1'
_symmetry_Int_Tables_number 1
_symmetry_space_group_name_Hall 'P 1'
_cell_length_a 4.134
_cell_length_b 5.621
_cell_length_c 5.621
_cell_angle_alpha 41.24
_cell_angle_beta 90.00
_cell_angle_gamma 90.00
loop_
_atom_site_label
_atom_site_type_symbol
_atom_site_fract_x
_atom_site_fract_y
_atom_site_fract_z
Er1 Er 0.000 0.000 0.000
Tm1 Tm 0.500 0.719 0.719
Ge1 Ge 0.000 0.284 0.284
Rh1 Rh 0.500 0.442 0.442
```

[2]
DFT (PBE) results for a geometry-optimized HoGa3Pt3 structure.

Values from the calculation:
* density of states at the Fermi level: 4.39 states/eV per cell
* SG: R-3 (148)
* V: 249.9 Å³ per cell
* formation enthalpy at 0 K: -822 meV per atom
* total magnetic moment: 0.0 μB/f.u.
* E above lowest polymorph: 0 meV/atom
* E_tot: -5.36 eV per atom

Cell and atoms, written as CIF:
```
data_HoGa3Pt3
_symmetry_space_group_name_H-M 'P 1'
_symmetry_Int_Tables_number 1
_symmetry_space_group_name_Hall 'P 1'
_cell_length_a 7.291
_cell_length_b 7.291
_cell_length_c 7.291
_cell_angle_alpha 56.19
_cell_angle_beta 56.19
_cell_angle_gamma 56.19
loop_
_atom_site_label
_atom_site_type_symbol
_atom_site_fract_x
_atom_site_fract_y
_atom_site_fract_z
Ho1 Ho 0.161 0.161 0.161
Ho2 Ho 0.839 0.839 0.839
Ga1 Ga 0.038 0.597 0.233
Ga2 Ga 0.233 0.038 0.597
Ga3 Ga 0.403 0.767 0.962
Ga4 Ga 0.597 0.233 0.038
Ga5 Ga 0.767 0.962 0.403
Ga6 Ga 0.962 0.403 0.767
Pt1 Pt 0.191 0.677 0.420
Pt2 Pt 0.323 0.580 0.809
Pt3 Pt 0.420 0.191 0.677
Pt4 Pt 0.580 0.809 0.323
Pt5 Pt 0.677 0.420 0.191
Pt6 Pt 0.809 0.323 0.580
```

[3]
DFT (PBE) results for a geometry-optimized RbGa3Tc structure.

Values from the calculation:
* density of states at the Fermi level: 2.60 states/eV per cell
* SG: C2/m (12)
* V: 256.4 Å³ per cell
* formation enthalpy at 0 K: 91 meV per atom
* total magnetic moment: 0.0 μB/f.u.
* E above lowest polymorph: 234 meV/atom
* E_tot: -3.99 eV per atom

Cell and atoms, written as CIF:
```
data_RbGa3Tc
_symmetry_space_group_name_H-M 'P 1'
_symmetry_Int_Tables_number 1
_symmetry_space_group_name_Hall 'P 1'
_cell_length_a 9.080
_cell_length_b 9.080
_cell_length_c 7.037
_cell_angle_alpha 110.06
_cell_angle_beta 110.06
_cell_angle_gamma 28.20
loop_
_atom_site_label
_atom_site_type_symbol
_atom_site_fract_x
_atom_site_fract_y
_atom_site_fract_z
Rb1 Rb 0.079 0.079 0.232
Rb2 Rb 0.921 0.921 0.768
Ga1 Ga 0.141 0.141 0.794
Ga2 Ga 0.272 0.272 0.410
Ga3 Ga 0.433 0.433 0.346
Ga4 Ga 0.567 0.567 0.654
Ga5 Ga 0.728 0.728 0.590
Ga6 Ga 0.859 0.859 0.206
Tc1 Tc 0.285 0.285 0.067
Tc2 Tc 0.715 0.715 0.933
```